{
  "formula": "Ir2SeCl",
  "functional": "PBE",
  "state": "optimized geometry",
  "lattice": [[4.858, -1.495, 0.000], [4.858, 1.495, 0.000], [-0.378, 0.000, 6.431]],
  "species": ["Ir", "Ir", "Se", "Cl"],
  "frac_coords": [[0.000, 0.000, 0.000], [0.728, 0.728, 0.006], [0.373, 0.373, 0.231], [0.121, 0.121, 0.684]],
  "raw_formation_energy_ev_per_atom": 0.308,
  "de_polymorph_mev_per_atom": 274.5,
  "final_energy_ev_per_atom": -5.46
}



{
  "formula": "Zn2PtAu2",
  "functional": "PBE",
  "state": "optimized geometry",
  "lattice": [[7.289, 0.000, 0.000], [0.000, 7.289, 0.000], [0.000, 0.000, 3.067]],
  "species": ["Zn", "Zn", "Zn", "Zn", "Pt", "Pt", "Au", "Au", "Au", "Au"],
  "frac_coords": [[0.148, 0.352, 0.000], [0.352, 0.852, 0.000], [0.648, 0.148, 0.000], [0.852, 0.648, 0.000], [0.000, 0.000, 0.000], [0.500, 0.500, 0.000], [0.151, 0.651, 0.500], [0.349, 0.151, 0.500], [0.651, 0.849, 0.500], [0.849, 0.349, 0.500]],
  "de_polymorph_mev_per_atom": 178.1,
  "e_form_ev_per_fu": -0.610,
  "final_energy_ev_per_atom": -3.15
}



{
  "formula": "KLa2Cr2N6",
  "functional": "PBE",
  "state": "optimized geometry",
  "lattice": [[6.062, 0.000, 0.000], [-2.613, 5.892, 0.000], [-2.995, -1.923, 5.720]],
  "species": ["K", "La", "La", "Cr", "Cr", "N", "N", "N", "N", "N", "N"],
  "frac_coords": [[0.000, 0.000, 0.000], [0.405, 0.288, 0.688], [0.595, 0.712, 0.312], [0.209, 0.674, 0.675], [0.791, 0.326, 0.325], [0.115, 0.890, 0.673], [0.242, 0.533, 0.881], [0.451, 0.699, 0.601], [0.549, 0.301, 0.399], [0.758, 0.467, 0.119], [0.885, 0.110, 0.327]],
  "raw_formation_energy_ev_per_atom": -0.614,
  "final_energy_ev_per_atom": -7.90
}